one.
Here is AcLaTe3 after structural relaxation from Alexandria via LeMat-Bulk. Energies are from PBE.

Cell and atoms, written as CIF:
```
data_AcLaTe3
_cell_length_a 8.624
_cell_length_b 4.686
_cell_length_c 17.947
_cell_angle_alpha 90.00
_cell_angle_beta 90.00
_cell_angle_gamma 90.00
_space_group_name_H-M_alt 'P n m a'
_space_group_IT_number 62
loop_
_space_group_symop_operation_xyz
'x,y,z'
'-x,-y,-z'
'-x+1/2,-y,z+1/2'
'x+1/2,y,-z+1/2'
'x+1/2,-y+1/2,-z+1/2'
'-x+1/2,y+1/2,z+1/2'
'-x,y+1/2,-z'
'x,-y+1/2,z'
loop_
_atom_site_label
_atom_site_type_symbol
_atom_site_fract_x
_atom_site_fract_y
_atom_site_fract_z
Ac1 Ac 0.136 0.250 0.202
La1 La 0.230 0.750 0.458
Te1 Te 0.005 0.250 0.392
Te2 Te 0.123 0.750 0.063
Te3 Te 0.153 0.250 0.783
```

Computed properties:
M_tot (μB per atom): 0.000
Volume (Å³ per atom): 36.266

two.
Here is AcLaTe3 after structural relaxation from Alexandria via LeMat-Bulk. Energies are from PBE.

Cell and atoms, written as CIF:
```
data_AcLaTe3
_cell_length_a 4.558
_cell_length_b 14.948
_cell_length_c 11.277
_cell_angle_alpha 90.00
_cell_angle_beta 90.00
_cell_angle_gamma 90.00
_space_group_name_H-M_alt 'C m c m'
_space_group_IT_number 63
_space_group_name_Hall '-C 2c 2'
loop_
_atom_site_label
_atom_site_type_symbol
_atom_site_fract_x
_atom_site_fract_y
_atom_site_fract_z
Ac1 Ac 0.000 0.250 0.250
La1 La 0.000 0.000 0.000
Te1 Te 0.000 0.092 0.750
Te2 Te 0.000 0.354 0.565
```

Computed properties:
M_tot (μB per atom): 0.000
Volume (Å³ per atom): 38.420

Most stable to least stable, the ends of the list are one and two.

one.
Here is Ac4LaTe5 after structural relaxation from Alexandria via LeMat-Bulk. Energies are from PBE.

Cell and atoms, written as CIF:
```
data_Ac4LaTe5
_cell_length_a 4.7103
_cell_length_b 4.7103
_cell_length_c 57.4186
_cell_angle_alpha 90.00
_cell_angle_beta 90.00
_cell_angle_gamma 120.00
_space_group_name_H-M_alt 'R -3 m'
_space_group_IT_number 166
_space_group_name_Hall '-R 3 2"'
loop_
_atom_site_label
_atom_site_type_symbol
_atom_site_fract_x
_atom_site_fract_y
_atom_site_fract_z
Ac1 Ac 0.0000 0.0000 0.1018
Ac2 Ac 0.0000 0.0000 0.2996
La1 La 0.0000 0.0000 0.5000
Te1 Te 0.0000 0.0000 0.0000
Te2 Te 0.0000 0.0000 0.1980
Te3 Te 0.0000 0.0000 0.4010
```

Computed properties:
DOS at the Fermi energy (states/eV/cell): 19.2
M_tot (μB per atom): 0.000
Volume (Å³ per atom): 36.775

two.
Here is Ac4LaTe5 after structural relaxation from Alexandria via LeMat-Bulk. Energies are from PBE.

Cell and atoms, written as CIF:
```
data_Ac4LaTe5
_cell_length_a 4.704
_cell_length_b 6.652
_cell_length_c 23.530
_cell_angle_alpha 90.00
_cell_angle_beta 90.00
_cell_angle_gamma 90.00
_space_group_name_H-M_alt 'I m m m'
_space_group_IT_number 71
_space_group_name_Hall '-I 2 2'
loop_
_atom_site_label
_atom_site_type_symbol
_atom_site_fract_x
_atom_site_fract_y
_atom_site_fract_z
Ac1 Ac 0.000 0.000 0.100
Ac2 Ac 0.000 0.000 0.302
La1 La 0.000 0.000 0.500
Te1 Te 0.000 0.500 0.096
Te2 Te 0.000 0.500 0.299
Te3 Te 0.000 0.500 0.500
```

Computed properties:
DOS at the Fermi energy (states/eV/cell): 14.2
M_tot (μB per atom): 0.000
Volume (Å³ per atom): 36.815

Most stable to least stable, the ends of the list are one and two.

one.
Here is AcLa3Te4 after structural relaxation from Alexandria via LeMat-Bulk. Energies are from PBE.

Cell and atoms, written as CIF:
```
data_AcLa3Te4
_cell_length_a 4.5707
_cell_length_b 4.5707
_cell_length_c 30.8851
_cell_angle_alpha 90.00
_cell_angle_beta 90.00
_cell_angle_gamma 120.00
_space_group_name_H-M_alt 'P 63/m m c'
_space_group_IT_number 194
_space_group_name_Hall '-P 6c 2c'
loop_
_atom_site_label
_atom_site_type_symbol
_atom_site_fract_x
_atom_site_fract_y
_atom_site_fract_z
Ac1 Ac 0.3333 0.6667 0.2500
La1 La 0.0000 0.0000 0.0000
La2 La 0.3333 0.6667 0.6212
Te1 Te 0.0000 0.0000 0.1828
Te2 Te 0.3333 0.6667 0.0609
```

Computed properties:
DOS at the Fermi energy (states/eV/cell): 13.3
M_tot (μB per atom): 0.000
Volume (Å³ per atom): 34.924

two.
Here is AcLa3Te4 after structural relaxation from Alexandria via LeMat-Bulk. Energies are from PBE.

Cell and atoms, written as CIF:
```
data_AcLa3Te4
_cell_length_a 9.303
_cell_length_b 13.076
_cell_length_c 4.590
_cell_angle_alpha 90.00
_cell_angle_beta 90.00
_cell_angle_gamma 90.00
_space_group_name_H-M_alt 'C m m m'
_space_group_IT_number 65
_space_group_name_Hall '-C 2 2'
loop_
_atom_site_label
_atom_site_type_symbol
_atom_site_fract_x
_atom_site_fract_y
_atom_site_fract_z
Ac1 Ac 0.000 0.000 0.000
La1 La 0.000 0.500 0.000
La2 La 0.250 0.250 0.500
Te1 Te 0.000 0.253 0.000
Te2 Te 0.244 0.500 0.500
```

Computed properties:
DOS at the Fermi energy (states/eV/cell): 11.9
M_tot (μB per atom): 0.000
Volume (Å³ per atom): 34.896

Most stable to least stable, the ends of the list are two and one.

one.
Here is AcLa2Th after structural relaxation from Alexandria via LeMat-Bulk. Energies are from PBE.

Cell and atoms, written as CIF:
```
data_AcLa2Th
_cell_length_a 3.7369
_cell_length_b 3.7369
_cell_length_c 36.9639
_cell_angle_alpha 90.00
_cell_angle_beta 90.00
_cell_angle_gamma 120.00
_space_group_name_H-M_alt 'R -3 m'
_space_group_IT_number 166
_space_group_name_Hall '-R 3 2"'
loop_
_atom_site_label
_atom_site_type_symbol
_atom_site_fract_x
_atom_site_fract_y
_atom_site_fract_z
Ac1 Ac 0.0000 0.0000 0.0000
La1 La 0.0000 0.0000 0.2445
Th1 Th 0.0000 0.0000 0.5000
```

Computed properties:
DOS at the Fermi energy (states/eV/cell): 22.4
M_tot (μB per atom): 0.000
Volume (Å³ per atom): 37.252

two.
Here is AcLa2Th after structural relaxation from Alexandria via LeMat-Bulk. Energies are from PBE.

Cell and atoms, written as CIF:
```
data_AcLa2Th
_cell_length_a 5.279
_cell_length_b 5.279
_cell_length_c 5.255
_cell_angle_alpha 90.00
_cell_angle_beta 90.00
_cell_angle_gamma 90.00
_space_group_name_H-M_alt 'P 4/m m m'
_space_group_IT_number 123
_space_group_name_Hall '-P 4 2'
loop_
_atom_site_label
_atom_site_type_symbol
_atom_site_fract_x
_atom_site_fract_y
_atom_site_fract_z
Ac1 Ac 0.000 0.000 0.000
La1 La 0.000 0.500 0.500
Th1 Th 0.500 0.500 0.000
```

Computed properties:
DOS at the Fermi energy (states/eV/cell): 6.3
M_tot (μB per atom): 0.000
Volume (Å³ per atom): 36.610

three.
Here is AcLa2Th after structural relaxation from Alexandria via LeMat-Bulk. Energies are from PBE.

Cell and atoms, written as CIF:
```
data_AcLa2Th
_cell_length_a 3.7464
_cell_length_b 3.7464
_cell_length_c 36.9037
_cell_angle_alpha 90.00
_cell_angle_beta 90.00
_cell_angle_gamma 120.00
_space_group_name_H-M_alt 'R 3 m'
_space_group_IT_number 160
_space_group_name_Hall 'R 3 -2"'
loop_
_atom_site_label
_atom_site_type_symbol
_atom_site_fract_x
_atom_site_fract_y
_atom_site_fract_z
Ac1 Ac 0.0000 0.0000 0.0000
La1 La 0.0000 0.0000 0.5781
La2 La 0.0000 0.0000 0.7559
Th1 Th 0.0000 0.0000 0.1672
```

Computed properties:
DOS at the Fermi energy (states/eV/cell): 20.1
M_tot (μB per atom): 0.000
Volume (Å³ per atom): 37.381

Most stable to least stable, the ends of the list are three and two.

one.
Here is AcLaTh2 after structural relaxation from Alexandria via LeMat-Bulk. Energies are from PBE.

Cell and atoms, written as CIF:
```
data_AcLaTh2
_cell_length_a 8.315
_cell_length_b 8.315
_cell_length_c 8.315
_cell_angle_alpha 90.00
_cell_angle_beta 90.00
_cell_angle_gamma 90.00
_space_group_name_H-M_alt 'F m -3 m'
_space_group_IT_number 225
_space_group_name_Hall '-F 4 2 3'
loop_
_atom_site_label
_atom_site_type_symbol
_atom_site_fract_x
_atom_site_fract_y
_atom_site_fract_z
Ac1 Ac 0.000 0.000 0.000
La1 La 0.000 0.000 0.500
Th1 Th 0.250 0.250 0.250
```

Computed properties:
DOS at the Fermi energy (states/eV/cell): 45.9
M_tot (μB per atom): 0.000
Volume (Å³ per atom): 35.935

two.
Here is AcLaTh2 after structural relaxation from Alexandria via LeMat-Bulk. Energies are from PBE.

Cell and atoms, written as CIF:
```
data_AcLaTh2
_cell_length_a 4.376
_cell_length_b 4.376
_cell_length_c 7.514
_cell_angle_alpha 90.00
_cell_angle_beta 90.00
_cell_angle_gamma 90.00
_space_group_name_H-M_alt 'P 4/m m m'
_space_group_IT_number 123
_space_group_name_Hall '-P 4 2'
loop_
_atom_site_label
_atom_site_type_symbol
_atom_site_fract_x
_atom_site_fract_y
_atom_site_fract_z
Ac1 Ac 0.000 0.000 0.000
La1 La 0.000 0.000 0.500
Th1 Th 0.500 0.500 0.281
```

Computed properties:
DOS at the Fermi energy (states/eV/cell): 6.5
M_tot (μB per atom): 0.000
Volume (Å³ per atom): 35.966

Most stable to least stable, the ends of the list are two and one.